1.
La2DyZn4Si4: relaxed, PBE.

Cell: 12.7553 12.7553 12.7553 Å, 161.17 161.03 26.85°
Fractional coordinates of all 11 atoms:
1 Si 0.1908 0.6908 0.5000
2 La 0.3557 0.8557 0.5000
3 Si 0.4532 0.4532 0.0000
4 La 0.6443 0.1443 0.5000
5 Si 0.5468 0.5468 0.0000
6 Si 0.8092 0.3092 0.5000
7 Zn 0.9075 0.4075 0.5000
8 Zn 0.2502 0.2502 0.0000
9 Zn 0.7498 0.7498 0.0000
10 Zn 0.0925 0.5925 0.5000
11 Dy 0.0000 0.0000 0.0000

* crystal system: orthorhombic
* energy: -47.50 eV per formula unit
* space group: Immm

***

2.
LaSmDy: relaxed, PBE.

Cell: 5.5377 5.5377 5.5377 Å, 60.00 60.00 60.00°
Fractional coordinates of all 3 atoms:
1 La 0.7500 0.7500 0.7500
2 Sm 0.0000 0.0000 0.0000
3 Dy 0.2500 0.2500 0.2500

* energy relative to the elements: 2.095 eV per formula unit
* offset from the most stable computed form: 0.00 eV per formula unit
* crystal system: cubic
* energy: -12.14 eV per formula unit
* space group: F-43m

***

3.
LaDySn: relaxed, PBE.

Cell: 5.2711 5.2711 5.2711 Å, 60.00 60.00 60.00°
Fractional coordinates of all 3 atoms:
1 Sn 0.0000 0.0000 0.0000
2 Dy 0.7500 0.7500 0.7500
3 La 0.2500 0.2500 0.2500

* offset from the most stable computed form: 0.57 eV per formula unit
* crystal system: cubic
* energy: -14.80 eV per formula unit
* space group: F-43m

***

4.
LaDySn: relaxed, PBE.

Cell: 5.5023 5.5023 6.6887 Å, 90.00 90.00 120.00°
Fractional coordinates of all 6 atoms:
1 Sn 0.3333 0.6667 0.4859
2 La 0.0000 0.0000 0.2369
3 La 0.0000 0.0000 0.7369
4 Sn 0.6667 0.3333 0.9859
5 Dy 0.6667 0.3333 0.4868
6 Dy 0.3333 0.6667 0.9868

* offset from the most stable computed form: 0.00 eV per formula unit
* crystal system: hexagonal
* energy: -15.37 eV per formula unit
* space group: P6_3mc

***

5.
LaTbDy: relaxed, PBE.

Cell: 5.5099 5.5099 5.5099 Å, 60.00 60.00 60.00°
Fractional coordinates of all 3 atoms:
1 La 0.2500 0.2500 0.2500
2 Dy 0.0000 0.0000 0.0000
3 Tb 0.7500 0.7500 0.7500

* energy relative to the elements: 2.079 eV per formula unit
* offset from the most stable computed form: 0.00 eV per formula unit
* crystal system: cubic
* energy: -12.07 eV per formula unit
* space group: F-43m

***

6.
La2DyTe3: relaxed, PBE.

Cell: 4.4808 4.4808 11.1478 Å, 90.00 90.00 120.00°
Fractional coordinates of all 6 atoms:
1 Te 0.6667 0.3333 0.3483
2 Te 0.0000 0.0000 0.0000
3 La 0.6667 0.3333 0.8273
4 Te 0.3333 0.6667 0.6517
5 La 0.3333 0.6667 0.1727
6 Dy 0.0000 0.0000 0.5000

* crystal system: trigonal
* energy: -32.84 eV per formula unit
* space group: P-3m1

***

7.
LaDyTl: relaxed, PBE.

Cell: 5.3087 5.3087 5.3087 Å, 60.00 60.00 60.00°
Fractional coordinates of all 3 atoms:
1 Tl 0.0000 0.0000 0.0000
2 La 0.7500 0.7500 0.7500
3 Dy 0.2500 0.2500 0.2500

* offset from the most stable computed form: 0.00 eV per formula unit
* crystal system: cubic
* energy: -12.06 eV per formula unit
* space group: F-43m

***

8.
LaDy2Tl3: relaxed, PBE.

Cell: 3.7947 3.7947 11.7936 Å, 90.00 90.00 90.00°
Fractional coordinates of all 6 atoms:
1 Dy 0.0000 0.0000 0.8404
2 Tl 0.5000 0.5000 0.6823
3 La 0.0000 0.0000 0.5000
4 Tl 0.5000 0.5000 0.0000
5 Tl 0.5000 0.5000 0.3177
6 Dy 0.0000 0.0000 0.1596

* crystal system: tetragonal
* energy: -23.46 eV per formula unit
* space group: P4/mmm

***

9.
LaDyTl2Zn2: relaxed, PBE.

Cell: 4.7514 4.7514 7.6215 Å, 90.00 90.00 120.00°
Fractional coordinates of all 6 atoms:
1 Dy 0.0000 0.0000 0.3467
2 La 0.0000 0.0000 0.8462
3 Tl 0.6667 0.3333 0.1365
4 Zn 0.3333 0.6667 0.0610
5 Tl 0.3333 0.6667 0.6127
6 Zn 0.6667 0.3333 0.5338

* crystal system: trigonal
* energy: -19.01 eV per formula unit
* space group: P3m1

***

10.
LaDyTm: relaxed, PBE.

Cell: 5.4820 5.4820 5.4820 Å, 60.00 60.00 60.00°
Fractional coordinates of all 3 atoms:
1 Dy 0.2500 0.2500 0.2500
2 La 0.7500 0.7500 0.7500
3 Tm 0.0000 0.0000 0.0000

* energy relative to the elements: 2.073 eV per formula unit
* offset from the most stable computed form: 0.00 eV per formula unit
* crystal system: cubic
* energy: -11.93 eV per formula unit
* space group: F-43m

***

11.
LaDyU: relaxed, PBE.

Cell: 5.1441 5.1441 5.1441 Å, 60.00 60.00 60.00°
Fractional coordinates of all 3 atoms:
1 Dy 0.2500 0.2500 0.2500
2 U 0.7500 0.7500 0.7500
3 La 0.0000 0.0000 0.0000

* energy relative to the elements: 3.552 eV per formula unit
* offset from the most stable computed form: 0.00 eV per formula unit
* crystal system: cubic
* energy: -17.27 eV per formula unit
* space group: F-43m

***

12.
LaDyW: relaxed, PBE.

Cell: 4.9060 4.9060 4.9060 Å, 60.00 60.00 60.00°
Fractional coordinates of all 3 atoms:
1 W 0.7500 0.7500 0.7500
2 Dy 0.0000 0.0000 0.0000
3 La 0.2500 0.2500 0.2500

* energy relative to the elements: 4.082 eV per formula unit
* crystal system: cubic
* energy: -18.40 eV per formula unit
* space group: F-43m

***

Q: energy of number 12 (LaDyW)?
A: -18.40 eV per formula unit

***

Q: Which of these has the highest energy?
A: LaDyTm

***

Q: What is the formula in the tenth record?
A: LaDyTm